No. 1
Density functional theory data (PBEsol) for a relaxed HfBRh2Au crystal.

Lattice parameters (Å, degrees): 3.7898 4.8937 4.8937 90.00 90.00 90.00
Fractional positions:
Rh (0.0000, 0.0000, 0.5000)
B (0.5000, 0.0000, 0.0000)
Au (0.0000, 0.0000, 0.0000)
Rh (0.0000, 0.5000, 0.0000)
Hf (0.5000, 0.5000, 0.5000)

## Properties
* formation energy from the elements: 1.055 eV per atom
* crystal system: tetragonal

---

No. 2
Density functional theory data (PBEsol) for a relaxed Hf2ZnBAu crystal.

Lattice parameters (Å, degrees): 3.6447 4.9301 4.9301 90.00 90.00 90.00
Fractional positions:
B (0.5000, 0.0000, 0.0000)
Zn (0.0000, 0.0000, 0.0000)
Hf (0.0000, 0.0000, 0.5000)
Hf (0.0000, 0.5000, 0.0000)
Au (0.5000, 0.5000, 0.5000)

## Properties
* formation energy from the elements: 0.612 eV per atom
* crystal system: tetragonal

---

No. 3
Density functional theory data (PBEsol) for a relaxed BAuI2N crystal.

Lattice parameters (Å, degrees): 2.7408 6.3047 6.3047 90.00 90.00 90.00
Fractional positions:
I (0.0000, 0.5000, 0.0000)
N (0.5000, 0.0000, 0.0000)
Au (0.5000, 0.5000, 0.5000)
B (0.0000, 0.0000, 0.0000)
I (0.0000, 0.0000, 0.5000)

## Properties
* formation energy from raw total energies: 209.8 meV/atom
* crystal system: tetragonal

---

No. 4
Density functional theory data (PBEsol) for a relaxed In2BTeAu crystal.

Lattice parameters (Å, degrees): 5.1785 5.7041 5.7041 90.00 90.00 90.00
Fractional positions:
Au (0.5000, 0.0000, 0.0000)
In (0.0000, 0.0000, 0.5000)
Te (0.0000, 0.0000, 0.0000)
In (0.0000, 0.5000, 0.0000)
B (0.5000, 0.5000, 0.5000)

## Properties
* formation energy from raw total energies: 1555.8 meV/atom
* crystal system: tetragonal

---

No. 5
Density functional theory data (PBEsol) for a relaxed B3IrAu crystal.

Lattice parameters (Å, degrees): 4.0890 4.0890 4.0890 90.00 90.00 90.00
Fractional positions:
B (0.0000, 0.0000, 0.5000)
Au (0.5000, 0.5000, 0.5000)
B (0.0000, 0.5000, 0.0000)
B (0.5000, 0.0000, 0.0000)
Ir (0.0000, 0.0000, 0.0000)

## Properties
* formation energy from the elements: 1.033 eV per atom
* crystal system: cubic

---

No. 6
Density functional theory data (PBEsol) for a relaxed KB2PdAu crystal.

Lattice parameters (Å, degrees): 4.5323 4.5323 4.8476 90.00 90.00 90.00
Fractional positions:
Pd (0.0000, 0.0000, 0.5000)
B (0.5000, 0.0000, 0.0000)
Au (0.5000, 0.5000, 0.5000)
B (0.0000, 0.5000, 0.0000)
K (0.0000, 0.0000, 0.0000)

## Properties
* formation energy from the elements: 2.832 eV per atom
* crystal system: tetragonal

---

No. 7
Density functional theory data (PBEsol) for a relaxed La2BOsAu crystal.

Lattice parameters (Å, degrees): 4.0958 5.4517 5.4517 90.00 90.00 90.00
Fractional positions:
La (0.0000, 0.5000, 0.0000)
Au (0.5000, 0.5000, 0.5000)
Os (0.0000, 0.0000, 0.0000)
B (0.5000, 0.0000, 0.0000)
La (0.0000, 0.0000, 0.5000)

## Properties
* formation energy from the elements: -0.074 eV per atom
* crystal system: tetragonal

---

No. 8
Density functional theory data (PBEsol) for a relaxed Li2BAu2 crystal.

Lattice parameters (Å, degrees): 4.3248 5.8347 5.8347 90.00 90.00 90.00
Fractional positions:
Au (0.0000, 0.3295, 0.8295)
Au (0.0000, 0.6705, 0.1705)
Li (0.5000, 0.1588, 0.6588)
B (0.0000, 0.0000, 0.0000)
Li (0.5000, 0.8412, 0.3412)
Li (0.5000, 0.6588, 0.8412)
Au (0.0000, 0.1705, 0.3295)
Li (0.5000, 0.3412, 0.1588)
B (0.0000, 0.5000, 0.5000)
Au (0.0000, 0.8295, 0.6705)

## Properties
* formation energy from the elements: -0.055 eV per atom
* crystal system: tetragonal

---

No. 9
Density functional theory data (PBEsol) for a relaxed LiBAu2 crystal.

Lattice parameters (Å, degrees): 4.9978 5.5296 5.5296 78.22 63.13 63.13
Fractional positions:
Au (0.3750, 0.8919, 0.6081)
B (0.7500, 0.5000, 0.5000)
Au (0.8750, 0.1081, 0.3919)
B (0.0000, 0.0000, 0.0000)
Au (0.7331, 0.3919, 0.8919)
Au (0.0169, 0.6081, 0.1081)
Li (0.5000, 0.0000, 0.0000)
Li (0.2500, 0.5000, 0.5000)

## Properties
* formation energy from the elements: 0.099 eV per atom
* crystal system: tetragonal

---

No. 10
Density functional theory data (PBEsol) for a relaxed LiSiBAu2 crystal.

Lattice parameters (Å, degrees): 4.2386 4.2546 4.2546 90.00 90.00 90.00
Fractional positions:
Au (0.0000, 0.5000, 0.0000)
Li (0.5000, 0.0000, 0.0000)
Si (0.5000, 0.5000, 0.5000)
B (0.0000, 0.0000, 0.0000)
Au (0.0000, 0.0000, 0.5000)

## Properties
* formation energy from raw total energies: 288.8 meV/atom
* crystal system: tetragonal

---

No. 11
Density functional theory data (PBEsol) for a relaxed MnBAu3 crystal.

Lattice parameters (Å, degrees): 4.2993 4.2993 4.2993 90.00 90.00 90.00
Fractional positions:
B (0.0000, 0.0000, 0.0000)
Au (0.5000, 0.0000, 0.0000)
Mn (0.5000, 0.5000, 0.5000)
Au (0.0000, 0.5000, 0.0000)
Au (0.0000, 0.0000, 0.5000)

## Properties
* formation energy from the elements: 0.378 eV per atom
* crystal system: cubic

---

No. 12
Density functional theory data (PBEsol) for a relaxed BAu3N crystal.

Lattice parameters (Å, degrees): 4.2744 4.2744 4.2744 90.00 90.00 90.00
Fractional positions:
N (0.0000, 0.0000, 0.0000)
Au (0.0000, 0.5000, 0.0000)
Au (0.5000, 0.0000, 0.0000)
B (0.5000, 0.5000, 0.5000)
Au (0.0000, 0.0000, 0.5000)

## Properties
* formation energy from raw total energies: 1484.5 meV/atom
* crystal system: cubic

---

Respective total moment values: 0.001; 0.001; 0.000; 0.005; 0.000; 0.000; 0.000; 0.000; 0.000; 0.000; 4.449; 0.000 μB per formula unit.